1.
Here is an optimized crystal structure of Mg3Tl6Pb from Alexandria. Energies are from PBE.

space-group type	No. 36

POSCAR file:
```
Mg3Tl6Pb
1.0
4.793 -7.892 0.000
4.793 7.892 0.000
0.000 0.000 7.440
Mg Tl Pb
6 12 2
direct
0.115 0.885 0.500
0.208 0.458 0.958
0.458 0.208 0.458
0.542 0.792 0.958
0.792 0.542 0.458
0.885 0.115 0.000
0.019 0.374 0.328
0.143 0.213 0.652
0.213 0.143 0.152
0.233 0.767 0.183
0.374 0.019 0.828
0.466 0.534 0.282
0.534 0.466 0.782
0.626 0.981 0.328
0.767 0.233 0.683
0.787 0.857 0.652
0.857 0.787 0.152
0.981 0.626 0.828
0.323 0.677 0.603
0.677 0.323 0.103
```


2.
Here is an optimized crystal structure of Mg5Tl2Pb12 from Alexandria. Energies are from PBE.

space-group type	No. 12

POSCAR file:
```
Mg5Tl2Pb12
1.0
8.959 -3.393 0.000
8.959 3.393 0.000
-2.471 0.000 9.857
Mg Tl Pb
5 2 12
direct
0.000 0.000 0.000
0.314 0.314 0.157
0.353 0.353 0.658
0.647 0.647 0.342
0.686 0.686 0.843
0.268 0.732 0.500
0.732 0.268 0.500
0.044 0.569 0.395
0.086 0.086 0.312
0.087 0.596 0.921
0.404 0.913 0.079
0.431 0.956 0.605
0.487 0.487 0.153
0.513 0.513 0.847
0.569 0.044 0.395
0.596 0.087 0.921
0.913 0.404 0.079
0.914 0.914 0.688
0.956 0.431 0.605
```


3.
Here is an optimized crystal structure of Mg2Tl3Pb4 from Alexandria. Energies are from PBE.

space-group type	No. 15

POSCAR file:
```
Mg2Tl3Pb4
1.0
10.376 -5.050 0.000
10.376 5.050 0.000
-0.767 0.000 5.087
Mg Tl Pb
4 6 8
direct
0.060 0.766 0.655
0.234 0.940 0.845
0.766 0.060 0.155
0.940 0.234 0.345
0.111 0.889 0.250
0.183 0.424 0.509
0.424 0.183 0.009
0.576 0.817 0.991
0.817 0.576 0.491
0.889 0.111 0.750
0.061 0.304 0.927
0.304 0.061 0.427
0.324 0.532 0.056
0.468 0.676 0.444
0.532 0.324 0.556
0.676 0.468 0.944
0.696 0.939 0.573
0.939 0.696 0.073
```


4.
Here is an optimized crystal structure of MgTl2Pb from Alexandria. Energies are from PBE.

space-group type	No. 122

POSCAR file:
```
MgTl2Pb
1.0
-4.321 4.321 3.190
4.321 -4.321 3.190
4.321 4.321 -3.190
Mg Tl Pb
2 4 2
direct
0.000 0.000 0.000
0.750 0.250 0.500
0.104 0.625 0.979
0.375 0.354 0.479
0.646 0.125 0.021
0.875 0.896 0.521
0.250 0.750 0.500
0.500 0.500 0.000
```


5.
Here is an optimized crystal structure of Mg2Tl3Pb3 from Alexandria. Energies are from PBE.

space-group type	No. 189

POSCAR file:
```
Mg2Tl3Pb3
1.0
8.704 0.000 0.000
-4.352 7.538 0.000
0.000 0.000 3.476
Mg Tl Pb
2 3 3
direct
0.333 0.667 0.000
0.667 0.333 0.000
0.000 0.592 0.500
0.408 0.408 0.500
0.592 0.000 0.500
0.000 0.225 0.000
0.225 0.000 0.000
0.775 0.775 0.000
```


6.
Here is an optimized crystal structure of MgTl3Pb12 from Alexandria. Energies are from PBE.

space-group type	No. 123

POSCAR file:
```
MgTl3Pb12
1.0
4.895 0.000 0.000
0.000 4.895 0.000
0.000 0.000 20.507
Mg Tl Pb
1 3 12
direct
0.000 0.000 0.000
0.000 0.000 0.246
0.000 0.000 0.500
0.000 0.000 0.754
0.000 0.500 0.119
0.000 0.500 0.373
0.000 0.500 0.627
0.000 0.500 0.881
0.500 0.000 0.119
0.500 0.000 0.373
0.500 0.000 0.627
0.500 0.000 0.881
0.500 0.500 0.000
0.500 0.500 0.247
0.500 0.500 0.500
0.500 0.500 0.753
```


7.
Here is an optimized crystal structure of Mg5Tl6Pb from Alexandria. Energies are from PBE.

space-group type	No. 71

POSCAR file:
```
Mg5Tl6Pb
1.0
-2.620 3.908 7.667
2.620 -3.908 7.667
2.620 3.908 -7.667
Mg Tl Pb
5 6 1
direct
0.000 0.000 0.000
0.172 0.672 0.500
0.341 0.341 0.000
0.659 0.659 0.000
0.828 0.328 0.500
0.064 0.829 0.236
0.230 0.500 0.730
0.407 0.171 0.236
0.593 0.829 0.764
0.770 0.500 0.270
0.936 0.171 0.764
0.500 0.000 0.500
```


8.
Here is an optimized crystal structure of MgTl6Pb8 from Alexandria. Energies are from PBE.

space-group type	No. 148

POSCAR file:
```
MgTl6Pb8
1.0
4.398 2.539 7.062
-4.398 2.539 7.062
0.000 -5.079 7.062
Mg Tl Pb
1 6 8
direct
0.000 0.000 0.000
0.065 0.541 0.234
0.234 0.065 0.541
0.459 0.766 0.935
0.541 0.234 0.065
0.766 0.935 0.459
0.935 0.459 0.766
0.149 0.149 0.149
0.224 0.690 0.405
0.310 0.595 0.776
0.405 0.224 0.690
0.595 0.776 0.310
0.690 0.405 0.224
0.776 0.310 0.595
0.851 0.851 0.851
```


| no. | DFT formation energy (kcal/mol of atoms) |
| --- | --- |
| 1 | 0.386 |
| 2 | 1.966 |
| 3 | 0.456 |
| 4 | 2.581 |
| 5 | 0.561 |
| 6 | -0.043 |
| 7 | -0.183 |
| 8 | 0.923 |